Record 1
The following is a DFT calculation (PBE) of a geometry-optimized Li2TcW structure.

a b c (Å): 3.5696 3.5696 4.6431
angles (deg): 90.00 90.00 90.00
Last column: nearest neighbours and their distance in Å.
Space group P4/mmm (No. 123)
One atom of each set of equivalent atoms:
Li (0.0000, 0.5000, 0.0000) [2 per cell]  4 Li 2.52
Tc (0.0000, 0.0000, 0.5000) [1 per cell]  4 W 2.52
W (0.5000, 0.5000, 0.5000) [1 per cell]  4 Tc 2.52

Computed properties:
Total energy   -6.4094 eV per atom
Energy of formation   377.3 meV/atom
Energy above the most stable polymorph in this dataset   162.0 meV/atom



Record 2
The following is a DFT calculation (PBE) of a geometry-optimized K3Sc2CrS6 structure.

a b c (Å): 6.5329 11.3178 7.5867
angles (deg): 90.00 106.74 90.00
Last column: nearest neighbours and their distance in Å.
Space group C2/m (No. 12)
One atom of each set of equivalent atoms:
K (0.0000, 0.0000, 0.0000) [2 per cell]  6 S 3.11-3.21
K (0.0000, 0.3305, 0.0000) [4 per cell]  6 S 3.12-3.19
Sc (0.0000, 0.1663, 0.5000) [4 per cell]  6 S 2.61
Cr (0.0000, 0.5000, 0.5000) [2 per cell]  6 S 2.49
S (0.2221, 0.3404, 0.6875) [8 per cell]  1 Cr 2.49, 2 Sc 2.61
S (0.2439, 0.0000, 0.6884) [4 per cell]  1 Cr 2.49, 2 Sc 2.61

Computed properties:
Total energy   -5.6582 eV per atom
Uncorrected formation energy   -1.463 eV per atom



Record 3
The following is a DFT calculation (PBE) of a geometry-optimized Ca4Cd structure.

a b c (Å): 3.8805 3.8805 24.3473
angles (deg): 90.00 90.00 90.00
Last column: nearest neighbours and their distance in Å.
Space group I4/mmm (No. 139)
One atom of each set of equivalent atoms:
Ca (0.0000, 0.0000, 0.0766) [4 per cell]  4 Cd 3.32
Ca (0.0000, 0.0000, 0.3075) [4 per cell]  12 Ca 3.88-3.93
Cd (0.0000, 0.0000, 0.5000) [2 per cell]  8 Ca 3.32

Computed properties:
Total energy   -1.9269 eV per atom
Energy of formation   -142.6 meV/atom
Energy above the most stable polymorph in this dataset   0.0 meV/atom



Record 4
The following is a DFT calculation (PBE) of a geometry-optimized K2AcAlSe4 structure.

a b c (Å): 8.3054 9.2069 12.4307
angles (deg): 90.00 90.00 90.00
Last column: nearest neighbours and their distance in Å.
Space group Imma (No. 74)
One atom of each set of equivalent atoms:
K (0.0000, 0.0000, 0.0000) [4 per cell]  6 Se 3.16-3.17
K (0.2500, 0.2500, 0.2500) [4 per cell]  6 Se 3.44-3.51
Ac (0.0000, 0.0000, 0.5000) [4 per cell]  6 Se 3.08-3.13
Al (0.2500, 0.2500, 0.7500) [4 per cell]  6 Se 2.73-2.77
Se (0.0000, 0.0579, 0.7484) [8 per cell]  2 Al 2.73
Se (0.2428, 0.2500, 0.5271) [8 per cell]  1 Al 2.77, 2 Ac 3.08

Computed properties:
Total energy   -4.2705 eV per atom
Uncorrected formation energy   -1.273 eV per atom



Record 5
The following is a DFT calculation (PBE) of a geometry-optimized Ac2MnAl4Au3 structure.

a b c (Å): 4.4825 4.4825 10.8943
angles (deg): 90.00 90.00 90.00
Last column: nearest neighbours and their distance in Å.
Space group P-4m2 (No. 115)
One atom of each set of equivalent atoms:
Ac (0.0000, 0.5000, 0.2456) [2 per cell]  8 Al 3.42-3.56, 6 Au 3.45-3.49, 2 Mn 3.49
Mn (0.5000, 0.5000, 0.0000) [1 per cell]  4 Al 2.63
Al (0.0000, 0.0000, 0.5000) [1 per cell]  4 Au 2.65
Al (0.0000, 0.5000, 0.8731) [2 per cell]  2 Mn 2.63, 3 Au 2.63-2.66
Al (0.5000, 0.5000, 0.5000) [1 per cell]  4 Au 2.65
Au (0.0000, 0.0000, 0.0000) [1 per cell]  4 Al 2.63
Au (0.0000, 0.5000, 0.6291) [2 per cell]  5 Al 2.65-2.66

Computed properties:
Total energy   -4.7992 eV per atom
Energy of formation   -580.3 meV/atom



Record 6
The following is a DFT calculation (PBE) of a geometry-optimized TbPmAlCu structure.

a b c (Å): 7.2441 7.2441 7.2441
angles (deg): 90.00 90.00 90.00
Last column: nearest neighbours and their distance in Å.
Space group F-43m (No. 216)
One atom of each set of equivalent atoms:
Tb (0.0000, 0.0000, 0.0000) [4 per cell]  4 Al 3.14, 4 Cu 3.14
Pm (0.0000, 0.0000, 0.5000) [4 per cell]  4 Cu 3.14, 4 Al 3.14
Al (0.2500, 0.2500, 0.2500) [4 per cell]  4 Tb 3.14, 4 Pm 3.14
Cu (0.2500, 0.2500, 0.7500) [4 per cell]  4 Tb 3.14, 4 Pm 3.14

Computed properties:
Total energy   -4.5491 eV per atom
Energy of formation   -244.2 meV/atom
Energy above the most stable polymorph in this dataset   44.9 meV/atom



Record 7
The following is a DFT calculation (PBE) of a geometry-optimized DyEr3Tm6Th2 structure.

a b c (Å): 6.1002 10.5549 11.6103
angles (deg): 90.00 100.09 90.00
Last column: nearest neighbours and their distance in Å.
Space group C2/m (No. 12)
One atom of each set of equivalent atoms:
Dy (0.0000, 0.0000, 0.0000) [2 per cell]  6 Tm 3.51, 6 Th 3.52
Er (0.0000, 0.1663, 0.5000) [4 per cell]  6 Tm 3.50-3.52, 6 Er 3.51-3.52
Er (0.0000, 0.5000, 0.5000) [2 per cell]  6 Tm 3.50-3.52, 6 Er 3.52
Tm (0.2465, 0.5000, 0.2493) [4 per cell]  2 Th 3.49, 6 Tm 3.50-3.56, 3 Er 3.50-3.52, 1 Dy 3.51
Tm (0.2481, 0.3316, 0.7508) [8 per cell]  2 Th 3.49, 6 Tm 3.50-3.56, 3 Er 3.50-3.52, 1 Dy 3.51
Th (0.0000, 0.3333, 0.0000) [4 per cell]  6 Tm 3.49, 3 Dy 3.52, 3 Th 3.52

Computed properties:
Total energy   -4.9705 eV per atom
Energy of formation   26.1 meV/atom



Record 8
The following is a DFT calculation (PBE) of a geometry-optimized HfTiBi2 structure.

a b c (Å): 6.5750 6.5750 13.2678
angles (deg): 90.00 90.00 90.00
Last column: nearest neighbours and their distance in Å.
Space group I-42d (No. 122)
One atom of each set of equivalent atoms:
Hf (0.0000, 0.0000, 0.0000) [4 per cell]  4 Bi 2.88
Ti (0.0000, 0.0000, 0.5000) [4 per cell]  4 Bi 2.83
Bi (0.2441, 0.2500, 0.6250) [8 per cell]  2 Ti 2.83, 2 Hf 2.88

Computed properties:
Total energy   -5.8172 eV per atom
Energy of formation   585.3 meV/atom
Energy above the most stable polymorph in this dataset   566.3 meV/atom



Which of these has the highest total energy? Ca4Cd



What is the formula in the eighth record? HfTiBi2



Look up the total energy of the eighth one. -5.8172 eV per atom